Record 1
A geometry-optimized SrRh3 structure, computed with PBE-GGA.

```
SrRh3
1.0
-0.752 -2.918 -3.539
-1.931 -1.478 1.629
-4.634 2.684 -1.228
Sr Rh
1 3
Cartesian
-2.017 -1.157 -1.670
-5.300 -0.554 -1.469
-3.654 0.623 0.263
-6.193 1.186 0.338
```

Summary:
- calculated total energy (eV per cell) = -22.836
- crystal system = monoclinic

---

Record 2
A geometry-optimized YFe2Co structure, computed with PBE-GGA.

```
YFe2Co
1.0
-4.023 -1.665 -0.483
-3.513 2.502 0.768
-2.527 1.309 -3.330
Y Fe Co
1 2 1
Cartesian
-5.031 1.073 -1.522
-7.547 1.610 -2.283
-2.516 0.537 -0.761
0.000 0.000 0.000
```

Summary:
- calculated total energy (eV per cell) = -29.411
- crystal system = cubic